Record 1
# LiTa3Ti | Alexandria via LeMat-Bulk | meta-GGA SCAN | PBEsol geometry
# DFT formation energy ... 1544 meV per atom
# Total magnetic moment ... 0.00 μB per formula unit
data_LiTa3Ti
_cell_length_a 4.6846
_cell_length_b 4.6846
_cell_length_c 4.6846
_cell_angle_alpha 90.00
_cell_angle_beta 90.00
_cell_angle_gamma 90.00
_space_group_name_H-M_alt 'P m -3 m'
_space_group_IT_number 221
_space_group_name_Hall '-P 4 2 3'
loop_
_atom_site_label
_atom_site_type_symbol
_atom_site_fract_x
_atom_site_fract_y
_atom_site_fract_z
Li1 Li 0.0000 0.0000 0.0000
Ta1 Ta 0.0000 0.5000 0.5000
Ti1 Ti 0.5000 0.5000 0.5000

***

Record 2
# CdCu3 | Alexandria via LeMat-Bulk | meta-GGA SCAN | PBEsol geometry
# DFT formation energy ... 101 meV per atom
# Total magnetic moment ... 0.00 μB per formula unit
data_CdCu3
_cell_length_a 8.7394
_cell_length_b 2.7657
_cell_length_c 4.5461
_cell_angle_alpha 90.00
_cell_angle_beta 103.13
_cell_angle_gamma 90.00
_space_group_name_H-M_alt 'C 1 2/m 1'
_space_group_IT_number 12
_space_group_name_Hall '-C 2y'
loop_
_atom_site_label
_atom_site_type_symbol
_atom_site_fract_x
_atom_site_fract_y
_atom_site_fract_z
Cd1 Cd 0.0000 0.0000 0.0000
Cu1 Cu 0.0000 0.5000 0.5000
Cu2 Cu 0.2411 0.0000 0.7281

***

Record 3
# Ag7Pt | Alexandria via LeMat-Bulk | meta-GGA SCAN | PBEsol geometry
# DFT formation energy ... -14 meV per atom
# Total magnetic moment ... 0.00 μB per formula unit
data_Ag7Pt
_cell_length_a 8.0402
_cell_length_b 8.0402
_cell_length_c 8.0402
_cell_angle_alpha 90.00
_cell_angle_beta 90.00
_cell_angle_gamma 90.00
_space_group_name_H-M_alt 'F m -3 m'
_space_group_IT_number 225
_space_group_name_Hall '-F 4 2 3'
loop_
_atom_site_label
_atom_site_type_symbol
_atom_site_fract_x
_atom_site_fract_y
_atom_site_fract_z
Ag1 Ag 0.0000 0.0000 0.0000
Ag2 Ag 0.0000 0.2500 0.2500
Pt1 Pt 0.0000 0.0000 0.5000

***

Record 4
# Hf3HgOs | Alexandria via LeMat-Bulk | meta-GGA SCAN | PBEsol geometry
# DFT formation energy ... 1636 meV per atom
# Total magnetic moment ... 0.00 μB per formula unit
data_Hf3HgOs
_cell_length_a 4.9907
_cell_length_b 4.9907
_cell_length_c 4.9907
_cell_angle_alpha 90.00
_cell_angle_beta 90.00
_cell_angle_gamma 90.00
_space_group_name_H-M_alt 'P m -3 m'
_space_group_IT_number 221
_space_group_name_Hall '-P 4 2 3'
loop_
_atom_site_label
_atom_site_type_symbol
_atom_site_fract_x
_atom_site_fract_y
_atom_site_fract_z
Hf1 Hf 0.0000 0.0000 0.5000
Hg1 Hg 0.0000 0.0000 0.0000
Os1 Os 0.5000 0.5000 0.5000

***

Record 5
# Ni2S3O12 | Alexandria via LeMat-Bulk | meta-GGA SCAN | PBEsol geometry
# Energy relative to the elements, uncorrected ... -1369 meV per atom
# Total magnetic moment ... 2.07 μB per formula unit
data_Ni2S3O12
_cell_length_a 7.9454
_cell_length_b 7.9454
_cell_length_c 21.8132
_cell_angle_alpha 90.00
_cell_angle_beta 90.00
_cell_angle_gamma 120.00
_space_group_name_H-M_alt 'R -3'
_space_group_IT_number 148
_space_group_name_Hall '-R 3'
loop_
_atom_site_label
_atom_site_type_symbol
_atom_site_fract_x
_atom_site_fract_y
_atom_site_fract_z
Ni1 Ni 0.0000 0.0000 0.1422
Ni2 Ni 0.0000 0.0000 0.3448
S1 S 0.0067 0.7110 0.2517
O1 O 0.0218 0.8038 0.1925
O2 O 0.0473 0.2136 0.0845
O3 O 0.0919 0.2292 0.7004
O4 O 0.1005 0.2240 0.3979

***

Record 6
# MnCr2HgBr | Alexandria via LeMat-Bulk | meta-GGA SCAN | PBEsol geometry
# Energy relative to the elements, uncorrected ... 683 meV per atom
# Total magnetic moment ... 13.49 μB per formula unit
data_MnCr2HgBr
_cell_length_a 5.1038
_cell_length_b 5.1038
_cell_length_c 4.9929
_cell_angle_alpha 90.00
_cell_angle_beta 90.00
_cell_angle_gamma 90.00
_space_group_name_H-M_alt 'P 4/m m m'
_space_group_IT_number 123
_space_group_name_Hall '-P 4 2'
loop_
_atom_site_label
_atom_site_type_symbol
_atom_site_fract_x
_atom_site_fract_y
_atom_site_fract_z
Mn1 Mn 0.0000 0.0000 0.0000
Cr1 Cr 0.0000 0.5000 0.5000
Hg1 Hg 0.0000 0.0000 0.5000
Br1 Br 0.5000 0.5000 0.0000

***

Record 7
# CsBa2TaIn | Alexandria via LeMat-Bulk | meta-GGA SCAN | PBEsol geometry
# DFT formation energy ... 730 meV per atom
# Total magnetic moment ... 3.45 μB per formula unit
data_CsBa2TaIn
_cell_length_a 6.6458
_cell_length_b 6.6458
_cell_length_c 5.4661
_cell_angle_alpha 90.00
_cell_angle_beta 90.00
_cell_angle_gamma 90.00
_space_group_name_H-M_alt 'P 4/m m m'
_space_group_IT_number 123
_space_group_name_Hall '-P 4 2'
loop_
_atom_site_label
_atom_site_type_symbol
_atom_site_fract_x
_atom_site_fract_y
_atom_site_fract_z
Cs1 Cs 0.0000 0.0000 0.0000
Ba1 Ba 0.0000 0.5000 0.5000
Ta1 Ta 0.5000 0.5000 0.0000
In1 In 0.5000 0.5000 0.5000

***

Record 8
# CoRh2Cl | Alexandria via LeMat-Bulk | meta-GGA SCAN | PBEsol geometry
# Energy relative to the elements, uncorrected ... 287 meV per atom
# Total magnetic moment ... 4.76 μB per formula unit
data_CoRh2Cl
_cell_length_a 2.8124
_cell_length_b 2.8124
_cell_length_c 6.8354
_cell_angle_alpha 90.00
_cell_angle_beta 90.00
_cell_angle_gamma 90.00
_space_group_name_H-M_alt 'P 4/m m m'
_space_group_IT_number 123
_space_group_name_Hall '-P 4 2'
loop_
_atom_site_label
_atom_site_type_symbol
_atom_site_fract_x
_atom_site_fract_y
_atom_site_fract_z
Co1 Co 0.0000 0.0000 0.0000
Rh1 Rh 0.5000 0.5000 0.2287
Cl1 Cl 0.0000 0.0000 0.5000

***

Record 9
# CaMn2Pb | Alexandria via LeMat-Bulk | meta-GGA SCAN | PBEsol geometry
# DFT formation energy ... -5 meV per atom
# Total magnetic moment ... 7.82 μB per formula unit
data_CaMn2Pb
_cell_length_a 4.2398
_cell_length_b 4.2398
_cell_length_c 8.9183
_cell_angle_alpha 90.00
_cell_angle_beta 90.00
_cell_angle_gamma 90.00
_space_group_name_H-M_alt 'I -4 m 2'
_space_group_IT_number 119
_space_group_name_Hall 'I -4 -2'
loop_
_atom_site_label
_atom_site_type_symbol
_atom_site_fract_x
_atom_site_fract_y
_atom_site_fract_z
Ca1 Ca 0.0000 0.0000 0.0000
Mn1 Mn 0.0000 0.0000 0.5000
Mn2 Mn 0.0000 0.5000 0.2500
Pb1 Pb 0.0000 0.5000 0.7500

***

Record 10
# Ho5Pb3 | Alexandria via LeMat-Bulk | meta-GGA SCAN | PBEsol geometry
# DFT formation energy ... -758 meV per atom
# Total magnetic moment ... 0.00 μB per formula unit
data_Ho5Pb3
_cell_length_a 8.8789
_cell_length_b 8.8789
_cell_length_c 6.4750
_cell_angle_alpha 90.00
_cell_angle_beta 90.00
_cell_angle_gamma 120.00
_space_group_name_H-M_alt 'P 63/m c m'
_space_group_IT_number 193
_space_group_name_Hall '-P 6c 2'
loop_
_atom_site_label
_atom_site_type_symbol
_atom_site_fract_x
_atom_site_fract_y
_atom_site_fract_z
Ho1 Ho 0.0000 0.2365 0.2500
Ho2 Ho 0.3333 0.6667 0.0000
Pb1 Pb 0.0000 0.3949 0.7500

***

Record 11
# VPt | Alexandria via LeMat-Bulk | meta-GGA SCAN | PBEsol geometry
# DFT formation energy ... -751 meV per atom
# Total magnetic moment ... 0.00 μB per formula unit
data_VPt
_cell_length_a 4.3529
_cell_length_b 2.6680
_cell_length_c 4.7362
_cell_angle_alpha 90.00
_cell_angle_beta 90.00
_cell_angle_gamma 90.00
_space_group_name_H-M_alt 'P m m a'
_space_group_IT_number 51
_space_group_name_Hall '-P 2a 2a'
loop_
_atom_site_label
_atom_site_type_symbol
_atom_site_fract_x
_atom_site_fract_y
_atom_site_fract_z
V1 V 0.2500 0.0000 0.1704
Pt1 Pt 0.2500 0.5000 0.6802

***

Record 12
# SrPBr | Alexandria via LeMat-Bulk | meta-GGA SCAN | PBEsol geometry
# Energy relative to the elements, uncorrected ... -466 meV per atom
# Total magnetic moment ... 2.02 μB per formula unit
data_SrPBr
_cell_length_a 7.1139
_cell_length_b 7.1139
_cell_length_c 7.1139
_cell_angle_alpha 90.00
_cell_angle_beta 90.00
_cell_angle_gamma 90.00
_space_group_name_H-M_alt 'F -4 3 m'
_space_group_IT_number 216
_space_group_name_Hall 'F -4 2 3'
loop_
_atom_site_label
_atom_site_type_symbol
_atom_site_fract_x
_atom_site_fract_y
_atom_site_fract_z
Sr1 Sr 0.0000 0.0000 0.0000
P1 P 0.2500 0.2500 0.2500
Br1 Br 0.0000 0.0000 0.5000

***

Record 13
# Hf3CuC | Alexandria via LeMat-Bulk | meta-GGA SCAN | PBEsol geometry
# DFT formation energy ... -354 meV per atom
# Total magnetic moment ... 0.00 μB per formula unit
data_Hf3CuC
_cell_length_a 4.3815
_cell_length_b 4.3815
_cell_length_c 4.3815
_cell_angle_alpha 90.00
_cell_angle_beta 90.00
_cell_angle_gamma 90.00
_space_group_name_H-M_alt 'P m -3 m'
_space_group_IT_number 221
_space_group_name_Hall '-P 4 2 3'
loop_
_atom_site_label
_atom_site_type_symbol
_atom_site_fract_x
_atom_site_fract_y
_atom_site_fract_z
Hf1 Hf 0.0000 0.0000 0.5000
Cu1 Cu 0.5000 0.5000 0.5000
C1 C 0.0000 0.0000 0.0000

***

| no. | volume (Å³/f.u.) |
| --- | --- |
| 1 | 103 |
| 2 | 54 |
| 3 | 130 |
| 4 | 124 |
| 5 | 199 |
| 6 | 130 |
| 7 | 241 |
| 8 | 54 |
| 9 | 80 |
| 10 | 221 |
| 11 | 28 |
| 12 | 90 |
| 13 | 84 |